No. 1
Material: BeCr2Co
Method: DFT, PBE
State: relaxed

Structure (CIF):
```
data_BeCr2Co
_cell_length_a 8.157
_cell_length_b 8.157
_cell_length_c 8.157
_cell_angle_alpha 17.47
_cell_angle_beta 17.47
_cell_angle_gamma 17.47
_symmetry_space_group_name_H-M 'P 1'
_symmetry_Int_Tables_number 1
loop_
_symmetry_equiv_pos_as_xyz
'x,y,z'
loop_
_atom_site_label
_atom_site_type_symbol
_atom_site_fract_x
_atom_site_fract_y
_atom_site_fract_z
Be1 Be 0.496 0.496 0.496
Co1 Co 0.754 0.754 0.754
Cr1 Cr 0.246 0.246 0.246
Cr2 Cr 0.004 0.004 0.004
```

Results
V in Å³ per cell: 42.7
DFT formation energy in eV per atom: 0.16
Energy in eV/atom: -7.358
SG: R3m (160)

***

No. 2
Material: BeCrCo2
Method: DFT, PBE
State: relaxed

Structure (CIF):
```
data_BeCrCo2
_cell_length_a 2.441
_cell_length_b 4.372
_cell_length_c 4.636
_cell_angle_alpha 55.70
_cell_angle_beta 90.00
_cell_angle_gamma 90.00
_symmetry_space_group_name_H-M 'P 1'
_symmetry_Int_Tables_number 1
loop_
_symmetry_equiv_pos_as_xyz
'x,y,z'
loop_
_atom_site_label
_atom_site_type_symbol
_atom_site_fract_x
_atom_site_fract_y
_atom_site_fract_z
Be1 Be 0.000 0.000 0.500
Co1 Co 0.500 0.500 0.000
Co2 Co 0.000 0.000 0.000
Cr1 Cr 0.500 0.500 0.500
```

Results
V in Å³ per cell: 40.9
DFT formation energy in eV per atom: 0.08
Energy in eV/atom: -6.815
SG: P2/m (10)

***

No. 3
Material: Be2CrCo
Method: DFT, PBE
State: relaxed

Structure (CIF):
```
data_Be2CrCo
_cell_length_a 3.776
_cell_length_b 3.776
_cell_length_c 3.776
_cell_angle_alpha 120.03
_cell_angle_beta 120.03
_cell_angle_gamma 89.95
_symmetry_space_group_name_H-M 'P 1'
_symmetry_Int_Tables_number 1
loop_
_symmetry_equiv_pos_as_xyz
'x,y,z'
loop_
_atom_site_label
_atom_site_type_symbol
_atom_site_fract_x
_atom_site_fract_y
_atom_site_fract_z
Be1 Be 0.250 0.750 0.500
Be2 Be 0.000 0.000 0.000
Co1 Co 0.500 0.500 0.000
Cr1 Cr 0.750 0.250 0.500
```

Results
V in Å³ per cell: 38.1
DFT formation energy in eV per atom: -0.08
Energy in eV/atom: -6.130
SG: F-43m (216)

***

No. 4
Material: BeCr2Co
Method: DFT, PBE
State: relaxed

Structure (CIF):
```
data_BeCr2Co
_cell_length_a 3.862
_cell_length_b 2.426
_cell_length_c 4.466
_cell_angle_alpha 83.26
_cell_angle_beta 90.00
_cell_angle_gamma 90.00
_symmetry_space_group_name_H-M 'P 1'
_symmetry_Int_Tables_number 1
loop_
_symmetry_equiv_pos_as_xyz
'x,y,z'
loop_
_atom_site_label
_atom_site_type_symbol
_atom_site_fract_x
_atom_site_fract_y
_atom_site_fract_z
Cr1 Cr 0.000 0.033 0.989
Cr2 Cr 0.500 0.206 0.273
Co1 Co 0.500 0.671 0.750
Be1 Be 0.000 0.590 0.488
```

Results
V in Å³ per cell: 41.5
DFT formation energy in eV per atom: 0.00
Energy in eV/atom: -7.520
SG: Pm (6)

***

No. 5
Material: Be2CrCo2
Method: DFT, PBE
State: relaxed

Structure (CIF):
```
data_Be2CrCo2
_cell_length_a 3.863
_cell_length_b 3.863
_cell_length_c 4.434
_cell_angle_alpha 64.18
_cell_angle_beta 64.18
_cell_angle_gamma 90.00
_symmetry_space_group_name_H-M 'P 1'
_symmetry_Int_Tables_number 1
loop_
_symmetry_equiv_pos_as_xyz
'x,y,z'
loop_
_atom_site_label
_atom_site_type_symbol
_atom_site_fract_x
_atom_site_fract_y
_atom_site_fract_z
Cr1 Cr 0.000 0.000 0.000
Be1 Be 0.750 0.250 0.500
Be2 Be 0.250 0.750 0.500
Co1 Co 0.655 0.655 0.690
Co2 Co 0.345 0.345 0.310
```

Results
V in Å³ per cell: 52.1
DFT formation energy in eV per atom: 0.44
Energy in eV/atom: -5.821
SG: I4/mmm (139)

***

No. 6
Material: BeCrCo2
Method: DFT, PBE
State: relaxed

Structure (CIF):
```
data_BeCrCo2
_cell_length_a 2.554
_cell_length_b 2.554
_cell_length_c 5.980
_cell_angle_alpha 90.00
_cell_angle_beta 90.00
_cell_angle_gamma 90.01
_symmetry_space_group_name_H-M 'P 1'
_symmetry_Int_Tables_number 1
loop_
_symmetry_equiv_pos_as_xyz
'x,y,z'
loop_
_atom_site_label
_atom_site_type_symbol
_atom_site_fract_x
_atom_site_fract_y
_atom_site_fract_z
Co1 Co 0.000 0.000 0.974
Co2 Co 0.000 0.000 0.526
Be1 Be 0.500 0.500 0.750
Cr1 Cr 0.500 0.500 0.250
```

Results
V in Å³ per cell: 39.0
DFT formation energy in eV per atom: -0.17
Energy in eV/atom: -7.055
SG: P4/mmm (123)

***

> Which formula does entry 2 have?

BeCrCo2

***

> Which value of DFT formation energy does entry 5 give?

0.44 eV per atom